Computed, not measured: an optimized crystal structure of CaY2InHg4 at the PBE level of DFT.

Calculated values
N(E_F)   3.445 states/eV per cell
ΔH_f (0 K)   -3.6 eV/f.u.
Magnetic moment   0.000 μB per atom

a = 9.1588 Å, b = 9.1588 Å, c = 9.1588 Å
α = 32.96°, β = 32.96°, γ = 32.96°
Positions (direct):
Ca 0.0000 0.0000 0.0000
Y 0.2438 0.2438 0.2438
Y 0.7562 0.7562 0.7562
In 0.5000 0.5000 0.5000
Hg 0.1213 0.1213 0.1213
Hg 0.3694 0.3694 0.3694
Hg 0.6306 0.6306 0.6306
Hg 0.8787 0.8787 0.8787

=====

Computed, not measured: an optimized crystal structure of RbErTiSe4 at the PBE level of DFT.

Calculated values
Magnetic moment   0.000 μB per atom
Raw formation energy   -9.95 eV per formula unit

a = 6.8036 Å, b = 7.1055 Å, c = 9.5273 Å
α = 90.00°, β = 108.72°, γ = 90.00°
Positions (direct):
Rb 0.2444 0.2500 0.4431
Rb 0.7556 0.7500 0.5569
Er 0.2903 0.2500 0.9559
Er 0.7097 0.7500 0.0441
Ti 0.2634 0.7500 0.1630
Ti 0.7366 0.2500 0.8370
Se 0.0430 0.7500 0.9178
Se 0.0560 0.7500 0.3209
Se 0.4884 0.5054 0.8001
Se 0.4884 0.9946 0.8001
Se 0.5116 0.0054 0.1999
Se 0.5116 0.4946 0.1999
Se 0.9440 0.2500 0.6791
Se 0.9570 0.2500 0.0822

=====

Computed, not measured: an optimized crystal structure of HgP4Au at the PBE level of DFT.

Calculated values
N(E_F)   4.887 states/eV per cell
ΔH_f (0 K)   2.8 eV/f.u.
Magnetic moment   0.000 μB per atom

a = 5.9062 Å, b = 5.9062 Å, c = 5.9062 Å
α = 60.00°, β = 60.00°, γ = 60.00°
Positions (direct):
Hg 0.0000 0.0000 0.0000
P 0.4064 0.4064 0.4064
P 0.4064 0.4064 0.7807
P 0.4064 0.7807 0.4064
P 0.7807 0.4064 0.4064
Au 0.7500 0.7500 0.7500

=====

Computed, not measured: an optimized crystal structure of Hf2PdPb at the PBE level of DFT.

Calculated values
N(E_F)   3.757 states/eV per cell
ΔH_f (0 K)   -0.9 eV/f.u.
Magnetic moment   0.000 μB per atom

a = 3.1758 Å, b = 3.1758 Å, c = 8.2689 Å
α = 90.00°, β = 90.00°, γ = 90.00°
Positions (direct):
Hf 0.0000 0.0000 0.2177
Hf 0.0000 0.0000 0.7823
Pd 0.5000 0.5000 0.0000
Pb 0.5000 0.5000 0.5000

=====

Question: Which formula does entry 4 have?
Answer: Hf2PdPb

=====

Question: Which value of magnetic moment does entry 4 give?
Answer: 0.000 μB per atom

=====

Repeat the second record exactly.
Computed, not measured: an optimized crystal structure of RbErTiSe4 at the PBE level of DFT.

Calculated values
Magnetic moment   0.000 μB per atom
Raw formation energy   -9.95 eV per formula unit

a = 6.8036 Å, b = 7.1055 Å, c = 9.5273 Å
α = 90.00°, β = 108.72°, γ = 90.00°
Positions (direct):
Rb 0.2444 0.2500 0.4431
Rb 0.7556 0.7500 0.5569
Er 0.2903 0.2500 0.9559
Er 0.7097 0.7500 0.0441
Ti 0.2634 0.7500 0.1630
Ti 0.7366 0.2500 0.8370
Se 0.0430 0.7500 0.9178
Se 0.0560 0.7500 0.3209
Se 0.4884 0.5054 0.8001
Se 0.4884 0.9946 0.8001
Se 0.5116 0.0054 0.1999
Se 0.5116 0.4946 0.1999
Se 0.9440 0.2500 0.6791
Se 0.9570 0.2500 0.0822

=====

Question: Look up the magnetic moment of the third one.
Answer: 0.000 μB per atom